Material: Li2USnSe4
Method: DFT, GGA-PBE
State: optimized geometry

Calculated values
- Energy relative to the elements, uncorrected: -1.00 eV per atom
- ρ: 5.9 g/cm3
- V: 24.22 A^3/atom

```
Li2USnSe4
1.0
4.109 0.000 0.000
0.000 6.838 0.020
0.000 2.578 6.905
Sn Li Se U
1 2 4 1
direct
0.500 0.500 0.000 Sn
0.500 0.000 0.500 Li
0.000 0.000 0.000 Li
0.500 0.755 0.255 Se
0.000 0.246 0.274 Se
0.000 0.754 0.726 Se
0.500 0.245 0.745 Se
0.000 0.500 0.500 U
```